[1]
Density functional theory data (PBE) for a relaxed structure of NaOsCl6F. Values from VASP.

Output
D(E_F) = 29.5 states/eV/cell
symmetry = P-31c, No. 163
formation energy without anion corrections = -0.62 eV per atom

```
&SYSTEM
  ibrav = 0, nat = 18, ntyp = 4
/
ATOMIC_SPECIES
Na 22.99 Na.upf
Os 190.23 Os.upf
Cl 35.45 Cl.upf
F 19.00 F.upf
ATOMIC_POSITIONS angstrom
Na 0.0000 3.9473 2.9050
Na 3.4185 1.9737 8.7151
Os 0.0000 3.9473 8.7151
Os 3.4185 1.9737 2.9050
Cl -0.9566 2.3305 7.3632
Cl -1.8786 3.9273 10.0670
Cl 0.9566 2.3305 10.0670
Cl -0.9219 5.5842 7.3632
Cl 2.4966 0.3368 1.5532
Cl 1.5399 1.9937 4.2569
Cl 1.8786 3.9273 7.3632
Cl 0.9219 5.5842 10.0670
Cl 4.3405 0.3368 4.2569
Cl 2.4619 3.5905 1.5532
Cl 5.2971 1.9937 1.5532
Cl 4.3751 3.5905 4.2569
F 0.0000 0.0000 0.0000
F 0.0000 0.0000 5.8101
CELL_PARAMETERS angstrom
6.8370 0.0000 0.0000
-3.4185 5.9210 0.0000
0.0000 0.0000 11.6202
```

---

[2]
Density functional theory data (PBE) for a relaxed structure of TaFe2Tc. Values from VASP.

Output
D(E_F) = 9.5 states/eV/cell
symmetry = I-4m2, No. 119
energy of formation = 0.064 eV/atom
energy above the most stable polymorph in this dataset = 0.142 eV/atom

```
&SYSTEM
  ibrav = 0, nat = 8, ntyp = 3
/
ATOMIC_SPECIES
Ta 180.95 Ta.upf
Fe 55.84 Fe.upf
Tc 98.00 Tc.upf
ATOMIC_POSITIONS angstrom
Ta 0.0000 0.0000 0.0000
Ta 1.8870 1.8870 3.8802
Fe 0.0000 0.0000 3.8802
Fe 0.0000 1.8870 1.9401
Fe 1.8870 0.0000 5.8202
Fe 1.8870 1.8870 0.0000
Tc 0.0000 1.8870 5.8202
Tc 1.8870 0.0000 1.9401
CELL_PARAMETERS angstrom
3.7741 0.0000 0.0000
0.0000 3.7741 0.0000
0.0000 0.0000 7.7603
```

---

[3]
Density functional theory data (PBE) for a relaxed structure of La5Pr3Tm. Values from VASP.

Output
D(E_F) = 32.6 states/eV/cell
symmetry = I4/mcm, No. 140
energy of formation = 0.259 eV/atom

```
&SYSTEM
  ibrav = 0, nat = 18, ntyp = 3
/
ATOMIC_SPECIES
La 138.91 La.upf
Pr 140.91 Pr.upf
Tm 168.93 Tm.upf
ATOMIC_POSITIONS angstrom
La 0.0000 0.0000 0.0000
La 6.5049 1.9319 -2.1939
La 1.9319 2.6411 -2.1939
La 6.5049 1.9319 2.1939
La 1.9319 2.6411 2.1939
La 0.0000 0.0000 7.8162
La 2.6411 1.9319 5.6223
La -1.9319 2.6411 5.6223
La 2.6411 1.9319 10.0102
La -1.9319 2.6411 10.0102
Pr 3.5153 1.0577 0.0000
Pr 0.0000 0.0000 3.9081
Pr 3.5153 -1.0577 7.8162
Pr 1.0577 5.6307 0.0000
Pr 0.0000 0.0000 11.7243
Pr 1.0577 3.5153 7.8162
Tm 4.5730 0.0000 3.9081
Tm 0.0000 4.5730 3.9081
CELL_PARAMETERS angstrom
-4.5730 4.5730 7.8162
4.5730 -4.5730 7.8162
4.5730 4.5730 -7.8162
```

---

[4]
Density functional theory data (PBE) for a relaxed structure of BePdI. Values from VASP.

Output
symmetry = P-1, No. 2
formation energy without anion corrections = -0.31 eV per atom
energy above the most stable polymorph in this dataset = 0.000 eV/atom

```
&SYSTEM
  ibrav = 0, nat = 6, ntyp = 3
/
ATOMIC_SPECIES
Be 9.01 Be.upf
Pd 106.42 Pd.upf
I 126.90 I.upf
ATOMIC_POSITIONS angstrom
Be 1.7841 1.0733 4.4831
Be 5.4335 3.3311 5.0085
Pd 3.6033 2.8125 3.5781
Pd 3.6143 1.5919 5.9135
I 1.7764 1.1482 1.9146
I 5.4412 3.2562 7.5769
CELL_PARAMETERS angstrom
3.6605 0.0000 0.0000
1.8239 3.8394 0.0000
1.7333 0.5650 9.4915
```

---

[5]
Density functional theory data (PBE) for a relaxed structure of Sn2SbPd4. Values from VASP.

Output
D(E_F) = 7.7 states/eV/cell
symmetry = Cmcm, No. 63
formation energy without anion corrections = -0.40 eV per atom
energy above the most stable polymorph in this dataset = 0.028 eV/atom

```
&SYSTEM
  ibrav = 0, nat = 14, ntyp = 3
/
ATOMIC_SPECIES
Sn 118.71 Sn.upf
Sb 121.76 Sb.upf
Pd 106.42 Pd.upf
ATOMIC_POSITIONS angstrom
Sn 1.6485 3.0736 9.7194
Sn 1.6485 3.0736 15.2941
Sn 1.6485 -3.0736 1.3815
Sn 1.6485 -3.0736 6.9563
Sb 1.6485 0.1586 4.1689
Sb 1.6485 -0.1586 12.5067
Pd 1.6485 3.8363 2.1776
Pd 1.6485 3.8363 6.1602
Pd 1.6485 2.5078 12.5067
Pd 1.6485 0.0000 0.0000
Pd 1.6485 0.0000 8.3378
Pd 1.6485 -2.5078 4.1689
Pd 1.6485 -3.8363 10.5154
Pd 1.6485 -3.8363 14.4980
CELL_PARAMETERS angstrom
1.6485 -4.8233 0.0000
1.6485 4.8233 0.0000
0.0000 0.0000 16.6756
```